1.
The following is a PBE-GGA calculation of a geometry-optimized MnCdAg2 structure, from the Alexandria database.

Cell lengths 4.794, 2.975, 5.043 Å; angles 90.02, 90.00, 90.00 degrees
Sites, in units of the cell vectors:
Ag  0.000  0.874  0.037
Ag  0.500  0.374  0.208
Cd  0.000  0.375  0.544
Mn  0.500  0.877  0.711

Results
E_form: 0.18 eV per atom
total energy: -0.1385 Ha/atom
calculated volume: 17.98 A^3/atom

2.
The following is a PBE-GGA calculation of a geometry-optimized MnCdAg2 structure, from the Alexandria database.

Cell lengths 9.595, 9.595, 9.595 Å; angles 17.93, 17.93, 17.93 degrees
Sites, in units of the cell vectors:
Ag  0.995  0.995  0.995
Ag  0.505  0.505  0.505
Cd  0.750  0.750  0.750
Mn  0.250  0.250  0.250

Results
E_form: 0.17 eV per atom
total energy: -0.1389 Ha/atom
calculated volume: 18.27 A^3/atom

3.
The following is a PBE-GGA calculation of a geometry-optimized MnCdAg2 structure, from the Alexandria database.

Cell lengths 4.940, 4.940, 3.054 Å; angles 90.00, 90.00, 104.01 degrees
Sites, in units of the cell vectors:
Ag  0.000  0.000  0.000
Ag  0.500  0.500  0.000
Cd  0.500  0.000  0.500
Mn  0.000  0.500  0.500

Results
E_form: 0.18 eV per atom
total energy: -0.1383 Ha/atom
calculated volume: 18.08 A^3/atom